First-principles (PBE-GGA) data for an optimized crystal structure of CdTc2Ir, as listed in Alexandria via LeMat-Bulk.

spin magnetization	0.0	μB per formula unit
DFT formation energy	0.266	eV per atom
symmetry	C2/m
E	-0.5410	Ry per atom

Lattice parameters (Å, degrees): 9.4912 2.8111 4.8238 90.00 100.73 90.00
Fractional coordinates of all 8 atoms:
Cd 0.0000 0.0000 0.0000
Cd 0.5000 0.5000 0.0000
Tc 0.2369 0.0000 0.7253
Tc 0.2631 0.5000 0.2747
Tc 0.7369 0.5000 0.7253
Tc 0.7631 0.0000 0.2747
Ir 0.0000 0.5000 0.5000
Ir 0.5000 0.0000 0.5000



First-principles (PBE-GGA) data for an optimized crystal structure of ThPaTlOs, as listed in Alexandria via LeMat-Bulk.

spin magnetization	0.0	μB per formula unit
DFT formation energy	-0.132	eV per atom
symmetry	Cm
E	-0.5704	Ry per atom

Lattice parameters (Å, degrees): 6.9232 4.0027 8.5727 90.00 105.71 90.00
Fractional coordinates of all 8 atoms:
Th 0.0000 0.0000 0.0000
Th 0.5000 0.5000 0.0000
Pa 0.2945 0.5000 0.3823
Pa 0.7945 0.0000 0.3823
Tl 0.2274 0.0000 0.6784
Tl 0.7274 0.5000 0.6784
Os 0.4034 0.0000 0.2096
Os 0.9034 0.5000 0.2096



First-principles (PBE-GGA) data for an optimized crystal structure of LiSm2Co, as listed in Alexandria via LeMat-Bulk.

spin magnetization	0.0	μB per formula unit
DFT formation energy	0.025	eV per atom
symmetry	R3m
E	-0.3373	Ry per atom

Lattice parameters (Å, degrees): 3.9058 3.9058 25.0741 90.00 90.00 120.00
Fractional coordinates of all 12 atoms:
Li 0.0000 0.0000 0.0000
Li 0.3333 0.6667 0.6667
Li 0.6667 0.3333 0.3333
Sm 0.0000 0.0000 0.5571
Sm 0.0000 0.0000 0.7722
Sm 0.3333 0.6667 0.2237
Sm 0.3333 0.6667 0.4388
Sm 0.6667 0.3333 0.1055
Sm 0.6667 0.3333 0.8904
Co 0.0000 0.0000 0.1642
Co 0.3333 0.6667 0.8308
Co 0.6667 0.3333 0.4975



First-principles (PBE-GGA) data for an optimized crystal structure of CaEuRh2, as listed in Alexandria via LeMat-Bulk.

spin magnetization	6.6	μB per formula unit
DFT formation energy	-0.310	eV per atom
symmetry	P4/mmm
E	-0.5185	Ry per atom

Lattice parameters (Å, degrees): 3.4597 3.4597 6.9517 90.00 90.00 90.00
Fractional coordinates of all 4 atoms:
Ca 0.0000 0.0000 0.0000
Eu 0.0000 0.0000 0.5000
Rh 0.5000 0.5000 0.2520
Rh 0.5000 0.5000 0.7480



First-principles (PBE-GGA) data for an optimized crystal structure of Rb2IBr6Cl, as listed in Alexandria via LeMat-Bulk.

spin magnetization	0.0	μB per formula unit
E_form (uncorrected)	-671	meV per atom
symmetry	I4/mmm
E	-0.1623	Ry per atom

Lattice parameters (Å, degrees): 8.1760 8.1760 8.1760 119.90 119.90 90.17
Fractional coordinates of all 10 atoms:
Rb 0.2500 0.7500 0.5000
Rb 0.7500 0.2500 0.5000
I 0.0000 0.0000 0.0000
Br 0.2384 0.2384 0.4768
Br 0.2384 0.7616 0.0000
Br 0.2402 0.2402 0.0000
Br 0.7598 0.7598 0.0000
Br 0.7616 0.2384 0.0000
Br 0.7616 0.7616 0.5232
Cl 0.5000 0.5000 0.0000



First-principles (PBE-GGA) data for an optimized crystal structure of Cd2InGa3, as listed in Alexandria via LeMat-Bulk.

spin magnetization	0.0	μB per formula unit
DFT formation energy	0.047	eV per atom
symmetry	Cmmm
E	-0.1637	Ry per atom

Lattice parameters (Å, degrees): 4.4047 13.2353 4.4875 90.00 90.00 90.00
Fractional coordinates of all 12 atoms:
Cd 0.0000 0.1691 0.0000
Cd 0.0000 0.8309 0.0000
Cd 0.5000 0.3309 0.0000
Cd 0.5000 0.6691 0.0000
In 0.0000 0.5000 0.0000
In 0.5000 0.0000 0.0000
Ga 0.0000 0.0000 0.5000
Ga 0.0000 0.3306 0.5000
Ga 0.0000 0.6694 0.5000
Ga 0.5000 0.1694 0.5000
Ga 0.5000 0.5000 0.5000
Ga 0.5000 0.8306 0.5000



First-principles (PBE-GGA) data for an optimized crystal structure of K6TaP4, as listed in Alexandria via LeMat-Bulk.

spin magnetization	1.1	μB per formula unit
DFT formation energy	-0.445	eV per atom
symmetry	P6_3mc
E	-0.3005	Ry per atom

Lattice parameters (Å, degrees): 10.1966 10.1966 8.0777 90.00 90.00 120.00
Fractional coordinates of all 22 atoms:
K 0.0658 0.5329 0.0000
K 0.1449 0.2898 0.3179
K 0.1449 0.8551 0.3179
K 0.2898 0.1449 0.8179
K 0.4671 0.5329 0.0000
K 0.4671 0.9342 0.0000
K 0.5329 0.0658 0.5000
K 0.5329 0.4671 0.5000
K 0.7102 0.8551 0.3179
K 0.8551 0.1449 0.8179
K 0.8551 0.7102 0.8179
K 0.9342 0.4671 0.5000
Ta 0.3333 0.6667 0.6095
Ta 0.6667 0.3333 0.1095
P 0.2031 0.4063 0.7018
P 0.2031 0.7969 0.7018
P 0.3333 0.6667 0.3130
P 0.4063 0.2031 0.2018
P 0.5937 0.7969 0.7018
P 0.6667 0.3333 0.8130
P 0.7969 0.2031 0.2018
P 0.7969 0.5937 0.2018



First-principles (PBE-GGA) data for an optimized crystal structure of CrFe4Ir15, as listed in Alexandria via LeMat-Bulk.

spin magnetization	0.9	μB per formula unit
DFT formation energy	-0.092	eV per atom
symmetry	P4/mmm
E	-0.6550	Ry per atom

Lattice parameters (Å, degrees): 3.8224 3.8224 19.1088 90.00 90.00 90.00
Fractional coordinates of all 20 atoms:
Cr 0.0000 0.0000 0.0000
Fe 0.0000 0.0000 0.2017
Fe 0.0000 0.0000 0.3988
Fe 0.0000 0.0000 0.6012
Fe 0.0000 0.0000 0.7983
Ir 0.0000 0.5000 0.0985
Ir 0.0000 0.5000 0.3001
Ir 0.0000 0.5000 0.5000
Ir 0.0000 0.5000 0.6999
Ir 0.0000 0.5000 0.9015
Ir 0.5000 0.0000 0.0985
Ir 0.5000 0.0000 0.3001
Ir 0.5000 0.0000 0.5000
Ir 0.5000 0.0000 0.6999
Ir 0.5000 0.0000 0.9015
Ir 0.5000 0.5000 0.0000
Ir 0.5000 0.5000 0.1993
Ir 0.5000 0.5000 0.4000
Ir 0.5000 0.5000 0.6000
Ir 0.5000 0.5000 0.8007